The following is a PBE calculation of an optimized crystal structure of CaScPd4, from the Alexandria database.

Its density of states at the Fermi level is 7.8 states/eV per cell. The calculated total energy is -65.626 eV/cell. The offset from the most stable computed form comes out at 0.17 eV per formula unit. As for the crystal system: monoclinic. As for the formation energy: -0.6181 eV/atom. The value obtained for the total magnetization is 0.000 μB per cell.

It has space group C2/m (No. 12), with a = 9.802 Å, b = 3.220 Å, c = 7.470 Å, α = 90.00°, β = 112.18° and γ = 90.00°. The asymmetric unit holds Ca at (0.000, 0.000, 0.000), Sc at (0.000, 0.000, 0.500), Pd at (0.158, 0.500, 0.352) and Pd at (0.171, 0.500, 0.811).